(1)
The following is a PBE calculation of a relaxed structure of NaThBiSb, from Alexandria.

abc: 5.4992 5.4992 5.4992
angles: 60.00 60.00 60.00
Element x y z (fractional)
Na (0.0000, 0.0000, 0.0000)
Th (0.5000, 0.5000, 0.5000)
Bi (0.7500, 0.7500, 0.7500)
Sb (0.2500, 0.2500, 0.2500)

symmetry: F-43m (216)
formation energy from raw total energies: -158 kJ/mol of formula units
total energy: -4.5960 eV/atom
crystal system: cubic
magnetization: 0.00 μB/cell

---

(2)
The following is a PBE calculation of a relaxed structure of TbSm4Dy2Sc, from Alexandria.

abc: 5.0435 5.0435 9.9550
angles: 90.00 90.00 90.00
Element x y z (fractional)
Tb (0.0000, 0.0000, 0.0000)
Sm (0.0000, 0.5000, 0.2553)
Sm (0.0000, 0.5000, 0.7447)
Sm (0.5000, 0.0000, 0.2553)
Sm (0.5000, 0.0000, 0.7447)
Dy (0.0000, 0.0000, 0.5000)
Dy (0.5000, 0.5000, 0.0000)
Sc (0.5000, 0.5000, 0.5000)

calculated formation energy: 0.028 eV/atom
symmetry: P4/mmm (123)
total energy: -4.8520 eV/atom
crystal system: tetragonal
magnetization: 0.00 μB/cell

---

(3)
The following is a PBE calculation of a relaxed structure of SrHfMgPt2, from Alexandria.

abc: 6.7015 6.7015 6.7015
angles: 141.83 141.83 55.09
Element x y z (fractional)
Sr (0.0000, 0.0000, 0.0000)
Hf (0.7500, 0.2500, 0.5000)
Mg (0.2500, 0.7500, 0.5000)
Pt (0.3829, 0.3829, 0.0000)
Pt (0.6171, 0.6171, 0.0000)

calculated formation energy: -0.843 eV/atom
symmetry: I-4m2 (119)
total energy: -5.9054 eV/atom
crystal system: tetragonal
magnetization: 0.00 μB/cell

---

(4)
The following is a PBE calculation of a relaxed structure of Ba3InAu2O6, from Alexandria.

abc: 6.1482 6.1482 6.8781
angles: 90.00 90.00 120.00
Element x y z (fractional)
Ba (0.0000, 0.0000, 0.0000)
Ba (0.3333, 0.6667, 0.6295)
Ba (0.6667, 0.3333, 0.3705)
In (0.0000, 0.0000, 0.5000)
Au (0.3333, 0.6667, 0.1315)
Au (0.6667, 0.3333, 0.8685)
O (0.1642, 0.3285, 0.3146)
O (0.1642, 0.8358, 0.3146)
O (0.3285, 0.1642, 0.6854)
O (0.6715, 0.8358, 0.3146)
O (0.8358, 0.1642, 0.6854)
O (0.8358, 0.6715, 0.6854)

symmetry: P-3m1 (164)
formation energy from raw total energies: -1566 kJ/mol of formula units
total energy: -5.0871 eV/atom
crystal system: trigonal
magnetization: 0.00 μB/cell

---

(5)
The following is a PBE calculation of a relaxed structure of K2LiScF6, from Alexandria.

abc: 5.8494 5.8494 5.8494
angles: 60.00 60.00 60.00
Element x y z (fractional)
K (0.2500, 0.2500, 0.2500)
K (0.7500, 0.7500, 0.7500)
Li (0.0000, 0.0000, 0.0000)
Sc (0.5000, 0.5000, 0.5000)
F (0.2542, 0.2542, 0.7458)
F (0.2542, 0.7458, 0.2542)
F (0.2542, 0.7458, 0.7458)
F (0.7458, 0.2542, 0.2542)
F (0.7458, 0.2542, 0.7458)
F (0.7458, 0.7458, 0.2542)

symmetry: Fm-3m (225)
formation energy from raw total energies: -3234 kJ/mol of formula units
total energy: -5.5183 eV/atom
crystal system: cubic
magnetization: 0.00 μB/cell

---

(6)
The following is a PBE calculation of a relaxed structure of Ac12TbNd5, from Alexandria.

abc: 11.6481 11.6481 6.7132
angles: 106.21 106.21 60.20
Element x y z (fractional)
Ac (0.0022, 0.3302, 0.4997)
Ac (0.1631, 0.8369, 0.0000)
Ac (0.1687, 0.4974, 0.9993)
Ac (0.3302, 0.0022, 0.4997)
Ac (0.3349, 0.6651, 0.5000)
Ac (0.4974, 0.1687, 0.9993)
Ac (0.5026, 0.8313, 0.0007)
Ac (0.6651, 0.3349, 0.5000)
Ac (0.6698, 0.9978, 0.5003)
Ac (0.8313, 0.5026, 0.0007)
Ac (0.8369, 0.1631, 0.0000)
Ac (0.9978, 0.6698, 0.5003)
Tb (0.0000, 0.0000, 0.5000)
Nd (0.1660, 0.1660, 0.9980)
Nd (0.3333, 0.3333, 0.4994)
Nd (0.5000, 0.5000, 0.0000)
Nd (0.6667, 0.6667, 0.5006)
Nd (0.8340, 0.8340, 0.0020)

calculated formation energy: 0.039 eV/atom
symmetry: C2/m (12)
total energy: -4.2819 eV/atom
crystal system: monoclinic
magnetization: 0.00 μB/cell